# Na2TbMoPO8 (PBE with a Hubbard U, optimized geometry)
# **Energy**: -6.957 eV/atom
data_Na2TbMoPO8
_chemical_formula_sum 'Na16 Tb8 Mo8 P8 O64'
_symmetry_space_group_name_H-M 'I b c a'
_symmetry_Int_Tables_number 73
_symmetry_space_group_name_Hall '-I 2b 2c'
_cell_length_a 7.0008
_cell_length_b 12.2544
_cell_length_c 18.1631
_cell_angle_alpha 90.00
_cell_angle_beta 90.00
_cell_angle_gamma 90.00
loop_
_atom_site_label
_atom_site_fract_x
_atom_site_fract_y
_atom_site_fract_z
_atom_site_occupancy
Na1 0.0067 0.0479 0.1545 1
Tb1 0.2500 0.1781 0.5000 1
Mo1 0.0000 0.2500 0.3210 1
P1 0.2500 0.0692 0.0000 1
O1 0.0389 0.1296 0.7676 1
O2 0.0762 0.1480 0.0075 1
O3 0.2077 0.2260 0.3783 1
O4 0.2388 0.0064 0.5683 1